No. 1
Entry from Alexandria: Hf2Mo after structural relaxation (GGA-PBE).

- DOS at the Fermi energy: 4.05 states/eV/f.u.
- Space-group type: Fmmm, No. 69
- Formation energy from the elements: -30 meV/atom

Unit cell a=5.7355 b=5.7337 c=3.3778 alpha=72.90 beta=72.84 gamma=34.26
Element x y z (fractional)
Hf: 0.1484 0.1484 0.8516
Hf: 0.8516 0.8516 0.1484
Mo: 0.5000 0.5000 0.5000



No. 2
Entry from Alexandria: HfMo4 after structural relaxation (GGA-PBE).

- DOS at the Fermi energy: 6.76 states/eV/f.u.
- Space-group type: Pm-3m, No. 221
- Excess energy over the best structure of this formula in the dataset: 11.19 eV per formula unit
- Formation energy from the elements: 2203 meV/atom

Unit cell a=4.6940 b=4.6940 c=4.6940 alpha=90.00 beta=90.00 gamma=90.00
Element x y z (fractional)
Hf: 0.0000 0.0000 0.0000
Mo: 0.0000 0.0000 0.5000
Mo: 0.0000 0.5000 0.0000
Mo: 0.5000 0.0000 0.0000
Mo: 0.5000 0.5000 0.5000